P:
VASP calculation (PBE) on crystalline BSeOF2 at its relaxed geometry.

Properties
Size of the total moment: 1.0 μB per formula unit

Lattice parameters (Å, degrees): 4.630 4.630 2.623 90.00 90.00 90.00
Fractional positions:
1 B 0.000 0.000 0.000
2 O 0.000 0.000 0.500
3 Se 0.500 0.500 0.500
4 F 0.000 0.500 0.000
5 F 0.500 0.000 0.000

=====

Q:
VASP calculation (PBE) on crystalline BSeOF2 at its relaxed geometry.

Properties
Size of the total moment: 0.0 μB per formula unit

Lattice parameters (Å, degrees): 4.450 4.450 3.771 90.00 90.00 90.00
Fractional positions:
1 B 0.500 0.500 0.500
2 O 0.000 0.000 0.500
3 Se 0.000 0.000 0.000
4 F 0.000 0.500 0.000
5 F 0.500 0.000 0.000

=====

Stability check: which of them is least stable? Q.

=====

P:
VASP calculation (PBE) on crystalline SiBOF2 at its relaxed geometry.

Properties
Size of the total moment: 0.0 μB per formula unit

Lattice parameters (Å, degrees): 4.527 4.527 2.618 90.00 90.00 90.00
Fractional positions:
1 Si 0.500 0.500 0.500
2 B 0.000 0.000 0.000
3 O 0.000 0.000 0.500
4 F 0.000 0.500 0.000
5 F 0.500 0.000 0.000

=====

Q:
VASP calculation (PBE) on crystalline SiBOF2 at its relaxed geometry.

Properties
Size of the total moment: 0.2 μB per formula unit

Lattice parameters (Å, degrees): 4.026 4.026 3.381 90.00 90.00 90.00
Fractional positions:
1 Si 0.000 0.000 0.000
2 B 0.500 0.500 0.500
3 O 0.000 0.000 0.500
4 F 0.000 0.500 0.000
5 F 0.500 0.000 0.000

=====

Stability check: which of them is least stable? Q.

=====

P:
VASP calculation (PBE) on crystalline BTeOF2 at its relaxed geometry.

Properties
Size of the total moment: 0.1 μB per formula unit

Lattice parameters (Å, degrees): 4.915 4.915 2.665 90.00 90.00 90.00
Fractional positions:
1 B 0.000 0.000 0.000
2 Te 0.500 0.500 0.500
3 O 0.000 0.000 0.500
4 F 0.000 0.500 0.000
5 F 0.500 0.000 0.000

=====

Q:
VASP calculation (PBE) on crystalline BTeOF2 at its relaxed geometry.

Properties
Size of the total moment: 0.5 μB per formula unit

Lattice parameters (Å, degrees): 4.542 4.542 4.104 90.00 90.00 90.00
Fractional positions:
1 B 0.500 0.500 0.500
2 Te 0.000 0.000 0.000
3 O 0.000 0.000 0.500
4 F 0.000 0.500 0.000
5 F 0.500 0.000 0.000

=====

Stability check: which of them is least stable? Q.

=====

P:
VASP calculation (PBE) on crystalline YBOF2 at its relaxed geometry.

Properties
Size of the total moment: 0.0 μB per formula unit

Lattice parameters (Å, degrees): 4.368 4.368 4.444 90.00 90.00 90.00
Fractional positions:
1 Y 0.000 0.000 0.000
2 B 0.500 0.500 0.500
3 O 0.000 0.000 0.500
4 F 0.000 0.500 0.000
5 F 0.500 0.000 0.000

=====

Q:
VASP calculation (PBE) on crystalline YBOF2 at its relaxed geometry.

Properties
Size of the total moment: 0.0 μB per formula unit

Lattice parameters (Å, degrees): 4.525 4.525 2.780 90.00 90.00 90.00
Fractional positions:
1 Y 0.500 0.500 0.500
2 B 0.000 0.000 0.000
3 O 0.000 0.000 0.500
4 F 0.000 0.500 0.000
5 F 0.500 0.000 0.000

=====

Stability check: which of them is least stable? Q.

=====

P:
VASP calculation (PBE) on crystalline BOsF3 at its relaxed geometry.

Properties
Size of the total moment: 3.4 μB per formula unit

Lattice parameters (Å, degrees): 3.885 3.885 3.885 90.00 90.00 90.00
Fractional positions:
1 B 0.000 0.000 0.000
2 Os 0.500 0.500 0.500
3 F 0.000 0.500 0.000
4 F 0.000 0.000 0.500
5 F 0.500 0.000 0.000

=====

Q:
VASP calculation (PBE) on crystalline BOsF3 at its relaxed geometry.

Properties
Size of the total moment: 0.1 μB per formula unit

Lattice parameters (Å, degrees): 4.136 4.136 4.136 90.00 90.00 90.00
Fractional positions:
1 B 0.500 0.500 0.500
2 Os 0.000 0.000 0.000
3 F 0.000 0.500 0.000
4 F 0.000 0.000 0.500
5 F 0.500 0.000 0.000

=====

Stability check: which of them is least stable? P.

=====

P:
VASP calculation (PBE) on crystalline BOsF2 at its relaxed geometry.

Properties
Size of the total moment: 2.9 μB per formula unit

Lattice parameters (Å, degrees): 4.003 4.003 4.003 60.00 60.00 60.00
Fractional positions:
1 B 0.000 0.000 0.000
2 Os 0.500 0.500 0.500
3 F 0.250 0.250 0.250
4 F 0.750 0.750 0.750

=====

Q:
VASP calculation (PBE) on crystalline BOsF2 at its relaxed geometry.

Properties
Size of the total moment: 2.1 μB per formula unit

Lattice parameters (Å, degrees): 5.154 5.154 5.154 60.00 60.00 60.00
Fractional positions:
1 B 0.250 0.250 0.250
2 B 0.000 0.000 0.000
3 Os 0.750 0.750 0.750
4 Os 0.500 0.500 0.500
5 F 0.125 0.625 0.125
6 F 0.625 0.125 0.125
7 F 0.125 0.125 0.125
8 F 0.125 0.125 0.625

=====

R:
VASP calculation (PBE) on crystalline BOsF2 at its relaxed geometry.

Properties
Size of the total moment: 0.0 μB per formula unit

Lattice parameters (Å, degrees): 8.142 8.142 8.142 18.63 18.63 18.63
Fractional positions:
1 B 0.500 0.500 0.500
2 Os 0.000 0.000 0.000
3 F 0.919 0.919 0.919
4 F 0.081 0.081 0.081

=====

Stability check: which of them is least stable? P.

=====

P:
VASP calculation (PBE) on crystalline B3OsF at its relaxed geometry.

Properties
Size of the total moment: 0.0 μB per formula unit

Lattice parameters (Å, degrees): 3.554 3.554 3.554 90.00 90.00 90.00
Fractional positions:
1 B 0.000 0.500 0.000
2 B 0.000 0.000 0.500
3 B 0.500 0.000 0.000
4 Os 0.500 0.500 0.500
5 F 0.000 0.000 0.000

=====

Q:
VASP calculation (PBE) on crystalline B3OsF at its relaxed geometry.

Properties
Size of the total moment: 0.0 μB per formula unit

Lattice parameters (Å, degrees): 4.074 4.074 4.074 90.00 90.00 90.00
Fractional positions:
1 B 0.000 0.500 0.000
2 B 0.000 0.000 0.500
3 B 0.500 0.000 0.000
4 Os 0.000 0.000 0.000
5 F 0.500 0.500 0.500

=====

Stability check: which of them is least stable? P.